1.
4
Lattice="5.5984 0.0000 0.0000 2.7992 4.8484 0.0000 2.7992 1.6161 4.5711" Properties=species:S:1:pos:R:3 comment="PmPrErMg GGA-PBE relaxed" polymorph_energy_kj_per_mol_fu=17 rho_g_cm3=6.39 pbc="T T T"
Pr 8.3976 4.8484 3.4283
Mg 0.0000 0.0000 0.0000
Pm 2.7992 1.6161 1.1428
Er 5.5984 3.2322 2.2855

=====

2.
10
Lattice="3.6414 0.0000 0.0000 0.0000 3.6414 0.0000 0.0000 0.0000 19.2463" Properties=species:S:1:pos:R:3 comment="Ho4ScIn5 GGA-PBE relaxed" rho_g_cm3=8.32 pbc="T T T"
Ho 0.0000 0.0000 3.6846
Ho 0.0000 0.0000 7.6342
Ho 0.0000 0.0000 11.6121
Ho 0.0000 0.0000 15.5617
Sc 0.0000 0.0000 0.0000
In 1.8207 1.8207 1.7158
In 1.8207 1.8207 5.6512
In 1.8207 1.8207 9.6231
In 1.8207 1.8207 13.5951
In 1.8207 1.8207 17.5305

=====

no.,M_tot (μB/cell),uncorrected energy (eV/atom)
1,0.00,-3.908
2,0.00,-4.278